Density functional theory data (PBE+U) for a relaxed structure of WSeN2F.

The value obtained for the total DFT energy (no corrections) is -5.385 eV/atom. The density of states at the Fermi level comes out at 5.478 states/eV/f.u. The magnetic moment comes out at 0.0000 μB/atom. The relative energy among the computed polymorphs is 109 meV per atom.

The structure belongs to space group P4/mmm (No. 123); the cell edges are 3.880, 3.880 and 5.264 Å and the angles 90.00°, 90.00° and 90.00°. Symmetry generates all atoms from W at (0.000, 0.000, 0.000), Se at (0.000, 0.000, 0.500), N at (0.000, 0.500, 0.000) and F at (0.500, 0.500, 0.500).